Entry 1:
The following is a PBE-GGA calculation of a relaxed Dy2FePd crystal, from Alexandria via LeMat-Bulk.

Properties
Excess energy over the best structure of this formula in the dataset   72 meV per atom

Cell lengths 6.8585, 6.8585, 6.8585 Å; angles 90.00, 90.00, 90.00 degrees
Space group Fm-3m (No. 225)
Symmetry-distinct sites (fractional):
Dy: 0.2500 0.2500 0.2500 (multiplicity 8)
Fe: 0.0000 0.0000 0.0000 (multiplicity 4)
Pd: 0.0000 0.0000 0.5000 (multiplicity 4)

---

Entry 2:
The following is a PBE-GGA calculation of a relaxed PmDyFePd crystal, from Alexandria via LeMat-Bulk.

Cell lengths 6.9772, 6.9772, 6.9772 Å; angles 90.00, 90.00, 90.00 degrees
Space group F-43m (No. 216)
Symmetry-distinct sites (fractional):
Pm: 0.0000 0.0000 0.0000 (multiplicity 4)
Dy: 0.0000 0.0000 0.5000 (multiplicity 4)
Fe: 0.2500 0.2500 0.2500 (multiplicity 4)
Pd: 0.2500 0.2500 0.7500 (multiplicity 4)

---

Entry 3:
The following is a PBE-GGA calculation of a relaxed TbDyFePd crystal, from Alexandria via LeMat-Bulk.

Cell lengths 6.8770, 6.8770, 6.8770 Å; angles 90.00, 90.00, 90.00 degrees
Space group F-43m (No. 216)
Symmetry-distinct sites (fractional):
Tb: 0.0000 0.0000 0.0000 (multiplicity 4)
Dy: 0.0000 0.0000 0.5000 (multiplicity 4)
Fe: 0.2500 0.2500 0.2500 (multiplicity 4)
Pd: 0.2500 0.2500 0.7500 (multiplicity 4)

---

Entry 4:
The following is a PBE-GGA calculation of a relaxed PmDy3Fe8 crystal, from Alexandria via LeMat-Bulk.

Cell lengths 5.1610, 5.1610, 25.2794 Å; angles 90.00, 90.00, 120.00 degrees
Space group R3m (No. 160, hexagonal axes)
Symmetry-distinct sites (fractional):
Pm: 0.0000 0.0000 0.0000 (multiplicity 3)
Dy: 0.0000 0.0000 0.1253 (multiplicity 3)
Dy: 0.0000 0.0000 0.5000 (multiplicity 3)
Dy: 0.0000 0.0000 0.6247 (multiplicity 3)
Fe: 0.0000 0.0000 0.3119 (multiplicity 3)
Fe: 0.0000 0.0000 0.8129 (multiplicity 3)
Fe: 0.0011 0.5005 0.0635 (multiplicity 9)
Fe: 0.1675 0.3350 0.8949 (multiplicity 9)

---

Entry 5:
The following is a PBE-GGA calculation of a relaxed PmDy2Fe crystal, from Alexandria via LeMat-Bulk.

Properties
Excess energy over the best structure of this formula in the dataset   237 meV per atom

Cell lengths 3.4810, 3.4810, 32.0495 Å; angles 90.00, 90.00, 120.00 degrees
Space group R-3m (No. 166, hexagonal axes)
Symmetry-distinct sites (fractional):
Pm: 0.0000 0.0000 0.0000 (multiplicity 3)
Dy: 0.0000 0.0000 0.1091 (multiplicity 6)
Fe: 0.0000 0.0000 0.5000 (multiplicity 3)

---

Entry 6:
The following is a PBE-GGA calculation of a relaxed PmDy2Fe9 crystal, from Alexandria via LeMat-Bulk.

Cell lengths 5.1227, 5.1227, 24.2877 Å; angles 90.00, 90.00, 120.00 degrees
Space group R-3m (No. 166, hexagonal axes)
Symmetry-distinct sites (fractional):
Pm: 0.0000 0.0000 0.0000 (multiplicity 3)
Dy: 0.0000 0.0000 0.1422 (multiplicity 6)
Fe: 0.0000 0.0000 0.3327 (multiplicity 6)
Fe: 0.0000 0.0000 0.5000 (multiplicity 3)
Fe: 0.0010 0.5005 0.0821 (multiplicity 18)

---

Computed energy of formation from the pure elements (kJ/mol of atoms) in order:
-30.2 -23.4 -29.2 -4.7 30.7 -4.0